[1]
DFT (GGA-PBE) results for an optimized crystal structure of CaAc3Ni3.

Values from the calculation:
* DFT formation energy: -0.10 eV per atom
* DOS(E_F): 5.50 states/eV/f.u.
* V: 188.8 Å³/f.u.
* size of the total moment: 0.0 μB per formula unit

Unit cell a=10.4113 b=10.4113 c=6.0324 alpha=90.00 beta=90.00 gamma=120.00
With the nearest neighbours (Å) after each atom.
Space group R3m (No. 160, hexagonal axes)
Inequivalent atoms, fractional coordinates:
Ca 0.0000 0.0000 0.0000 x3  3 Ni 3.01
Ac 0.1908 0.3817 0.2253 x9  4 Ni 3.01-3.08
Ni 0.1680 0.3360 0.7312 x9  1 Ca 3.01, 4 Ac 3.01-3.08


[2]
DFT (GGA-PBE) results for an optimized crystal structure of Li7Mg4Ag.

Values from the calculation:
* energy relative to the lowest polymorph listed for this composition: 0.0 kJ/mol of atoms
* DFT formation energy: 0.00 eV per atom
* DOS(E_F): 5.34 states/eV/f.u.
* V: 241.3 Å³/f.u.
* size of the total moment: 0.0 μB per formula unit

Unit cell a=15.0515 b=4.8483 c=7.2869 alpha=90.00 beta=114.84 gamma=90.00
With the nearest neighbours (Å) after each atom.
Space group C2/m (No. 12)
Inequivalent atoms, fractional coordinates:
Li 0.0000 0.0000 0.0000 x2  2 Ag 2.42
Li 0.0519 0.5000 0.7079 x4  1 Ag 2.56, 2 Li 2.76-2.79
Li 0.1787 0.5000 0.2334 x4  1 Ag 2.51, 3 Li 2.75-2.80
Li 0.2208 0.5000 0.6396 x4  4 Li 2.75-2.80, 1 Mg 2.96
Mg 0.0891 0.0000 0.4348 x4  6 Li 2.88-3.13, 2 Mg 3.18-3.20
Mg 0.1683 0.0000 0.9145 x4  5 Li 2.85-3.00, 1 Mg 3.18
Ag 0.0000 0.5000 0.0000 x2  6 Li 2.42-2.56


[3]
DFT (GGA-PBE) results for an optimized crystal structure of Ca7InN2.

Values from the calculation:
* formation energy without anion corrections: -333 meV/atom
* DOS(E_F): 4.73 states/eV/f.u.
* V: 271.9 Å³/f.u.
* size of the total moment: 1.6 μB per formula unit

Unit cell a=9.0005 b=12.6817 c=4.7638 alpha=90.00 beta=90.00 gamma=90.00
With the nearest neighbours (Å) after each atom.
Space group Cmmm (No. 65)
Inequivalent atoms, fractional coordinates:
Ca 0.0000 0.0000 0.0000 x2  2 N 2.63
Ca 0.0000 0.2004 0.5000 x4  2 N 2.38
Ca 0.1730 0.3575 0.0000 x8  1 N 2.46
In 0.0000 0.5000 0.5000 x2  8 Ca 3.37
N 0.0000 0.2073 0.0000 x4  5 Ca 2.38-2.63


[4]
DFT (GGA-PBE) results for an optimized crystal structure of PmDyBePd.

Values from the calculation:
* DFT formation energy: -0.30 eV per atom
* DOS(E_F): 2.41 states/eV/f.u.
* V: 87.6 Å³/f.u.
* size of the total moment: 0.0 μB per formula unit

Unit cell a=7.0488 b=7.0488 c=7.0488 alpha=90.00 beta=90.00 gamma=90.00
With the nearest neighbours (Å) after each atom.
Space group F-43m (No. 216)
Inequivalent atoms, fractional coordinates:
Pm 0.0000 0.0000 0.0000 x4  4 Be 3.05, 4 Pd 3.05
Dy 0.0000 0.0000 0.5000 x4  4 Pd 3.05, 4 Be 3.05
Be 0.2500 0.2500 0.2500 x4  4 Dy 3.05, 4 Pm 3.05
Pd 0.2500 0.2500 0.7500 x4  4 Dy 3.05, 4 Pm 3.05